First-principles (PBE-GGA) data for crystalline CeLuTi4 at its relaxed geometry, as listed in Alexandria via LeMat-Bulk.

Values from the calculation:
- volume (A^3/atom) = 21.81
- SG = F-43m (216)

Lattice parameters (Å, degrees): 5.6989 5.6989 5.6989 60.00 60.00 60.00
Closest atoms and distances in Å follow each position.
Positions (direct):
Ti  0.6248  0.6248  0.1255  6 Ti 2.85
Ti  0.6248  0.6248  0.6248  6 Ti 2.85
Ti  0.6248  0.1255  0.6248  6 Ti 2.85
Ti  0.1255  0.6248  0.6248  6 Ti 2.85
Ce  0.2500  0.2500  0.2500  12 Ti 3.34, 4 Lu 3.49
Lu  0.0000  0.0000  0.0000  12 Ti 3.34, 4 Ce 3.49

First-principles (PBE-GGA) data for crystalline CeLu2Ti at its relaxed geometry, as listed in Alexandria via LeMat-Bulk.

Values from the calculation:
- volume (A^3/atom) = 26.05
- SG = P4/mmm (123)

Lattice parameters (Å, degrees): 3.2665 3.2665 9.7666 90.00 90.00 90.00
Closest atoms and distances in Å follow each position.
Positions (direct):
Ti  0.5000  0.5000  0.0000  8 Lu 3.13, 4 Ti 3.27
Lu  0.0000  0.0000  0.7832  4 Ti 3.13, 4 Lu 3.27
Lu  0.0000  0.0000  0.2168  4 Ti 3.13, 4 Lu 3.27
Ce  0.5000  0.5000  0.5000  4 Ce 3.27, 8 Lu 3.60

First-principles (PBE-GGA) data for crystalline CeLuTiTl at its relaxed geometry, as listed in Alexandria via LeMat-Bulk.

Values from the calculation:
- volume (A^3/atom) = 25.96
- SG = F-43m (216)

Lattice parameters (Å, degrees): 5.2758 5.2758 5.2758 60.00 60.00 60.00
Closest atoms and distances in Å follow each position.
Positions (direct):
Tl  0.7500  0.7500  0.7500  4 Ce 3.23, 4 Lu 3.23
Lu  0.0000  0.0000  0.0000  4 Ti 3.23, 4 Tl 3.23
Ce  0.5000  0.5000  0.5000  4 Tl 3.23, 4 Ti 3.23
Ti  0.2500  0.2500  0.2500  4 Lu 3.23, 4 Ce 3.23

First-principles (PBE-GGA) data for crystalline CeTmLuTi at its relaxed geometry, as listed in Alexandria via LeMat-Bulk.

Values from the calculation:
- volume (A^3/atom) = 26.63
- SG = F-43m (216)

Lattice parameters (Å, degrees): 5.3206 5.3206 5.3206 60.00 60.00 60.00
Closest atoms and distances in Å follow each position.
Positions (direct):
Tm  0.7500  0.7500  0.7500  4 Lu 3.26, 4 Ce 3.26
Ti  0.2500  0.2500  0.2500  4 Ce 3.26, 4 Lu 3.26
Ce  0.5000  0.5000  0.5000  4 Tm 3.26, 4 Ti 3.26
Lu  0.0000  0.0000  0.0000  4 Tm 3.26, 4 Ti 3.26

First-principles (PBE-GGA) data for crystalline CeLuZrTi at its relaxed geometry, as listed in Alexandria via LeMat-Bulk.

Values from the calculation:
- volume (A^3/atom) = 24.22
- SG = F-43m (216)

Lattice parameters (Å, degrees): 5.1555 5.1555 5.1555 60.00 60.00 60.00
Closest atoms and distances in Å follow each position.
Positions (direct):
Ti  0.2500  0.2500  0.2500  4 Zr 3.16, 4 Ce 3.16
Ce  0.0000  0.0000  0.0000  4 Ti 3.16, 4 Lu 3.16
Lu  0.7500  0.7500  0.7500  4 Zr 3.16, 4 Ce 3.16
Zr  0.5000  0.5000  0.5000  4 Lu 3.16, 4 Ti 3.16

First-principles (PBE-GGA) data for crystalline CeLuTl2 at its relaxed geometry, as listed in Alexandria via LeMat-Bulk.

Values from the calculation:
- volume (A^3/atom) = 27.89
- SG = Fm-3m (225)

Lattice parameters (Å, degrees): 5.4034 5.4034 5.4034 60.00 60.00 60.00
Closest atoms and distances in Å follow each position.
Positions (direct):
Lu  0.0000  0.0000  0.0000  8 Tl 3.31
Tl  0.7500  0.7500  0.7500  4 Ce 3.31, 4 Lu 3.31
Tl  0.2500  0.2500  0.2500  4 Lu 3.31, 4 Ce 3.31
Ce  0.5000  0.5000  0.5000  8 Tl 3.31

First-principles (PBE-GGA) data for crystalline CeLuTl2 at its relaxed geometry, as listed in Alexandria via LeMat-Bulk.

Values from the calculation:
- volume (A^3/atom) = 27.47
- SG = P4/mmm (123)

Lattice parameters (Å, degrees): 3.5772 3.5772 8.5861 90.00 90.00 90.00
Closest atoms and distances in Å follow each position.
Positions (direct):
Tl  0.0000  0.0000  0.7620  4 Lu 3.25, 4 Ce 3.38, 4 Tl 3.58
Tl  0.0000  0.0000  0.2380  4 Lu 3.25, 4 Ce 3.38, 4 Tl 3.58
Ce  0.5000  0.5000  0.5000  8 Tl 3.38, 4 Ce 3.58
Lu  0.5000  0.5000  0.0000  8 Tl 3.25, 4 Lu 3.58

First-principles (PBE-GGA) data for crystalline CeLuTl2 at its relaxed geometry, as listed in Alexandria via LeMat-Bulk.

Values from the calculation:
- volume (A^3/atom) = 27.72
- SG = P4/mmm (123)

Lattice parameters (Å, degrees): 4.4921 4.9685 4.9685 90.00 90.00 90.00
Closest atoms and distances in Å follow each position.
Positions (direct):
Tl  0.0000  0.0000  0.5000  4 Ce 3.35, 4 Lu 3.35, 4 Tl 3.51
Tl  0.0000  0.5000  0.0000  4 Ce 3.35, 4 Lu 3.35, 4 Tl 3.51
Ce  0.5000  0.0000  0.0000  8 Tl 3.35, 4 Lu 3.51
Lu  0.5000  0.5000  0.5000  8 Tl 3.35, 4 Ce 3.51

First-principles (PBE-GGA) data for crystalline Ce2LuTl at its relaxed geometry, as listed in Alexandria via LeMat-Bulk.

Values from the calculation:
- volume (A^3/atom) = 29.42
- SG = Fm-3m (225)

Lattice parameters (Å, degrees): 5.5002 5.5002 5.5002 60.00 60.00 60.00
Closest atoms and distances in Å follow each position.
Positions (direct):
Ce  0.7500  0.7500  0.7500  4 Tl 3.37, 4 Lu 3.37
Ce  0.2500  0.2500  0.2500  4 Lu 3.37, 4 Tl 3.37
Lu  0.5000  0.5000  0.5000  8 Ce 3.37
Tl  0.0000  0.0000  0.0000  8 Ce 3.37

First-principles (PBE-GGA) data for crystalline CeLu2Tl at its relaxed geometry, as listed in Alexandria via LeMat-Bulk.

Values from the calculation:
- volume (A^3/atom) = 27.57
- SG = P4/mmm (123)

Lattice parameters (Å, degrees): 4.6599 4.8645 4.8645 90.00 90.00 90.00
Closest atoms and distances in Å follow each position.
Positions (direct):
Ce  0.5000  0.5000  0.5000  8 Lu 3.37, 4 Tl 3.44
Lu  0.0000  0.5000  0.0000  4 Ce 3.37, 4 Tl 3.37, 4 Lu 3.44
Lu  0.0000  0.0000  0.5000  4 Tl 3.37, 4 Ce 3.37, 4 Lu 3.44
Tl  0.5000  0.0000  0.0000  8 Lu 3.37, 4 Ce 3.44

First-principles (PBE-GGA) data for crystalline CeLu2Tl at its relaxed geometry, as listed in Alexandria via LeMat-Bulk.

Values from the calculation:
- volume (A^3/atom) = 26.74
- SG = Fm-3m (225)

Lattice parameters (Å, degrees): 5.3281 5.3281 5.3281 60.00 60.00 60.00
Closest atoms and distances in Å follow each position.
Positions (direct):
Ce  0.0000  0.0000  0.0000  8 Lu 3.26
Tl  0.5000  0.5000  0.5000  8 Lu 3.26
Lu  0.7500  0.7500  0.7500  4 Tl 3.26, 4 Ce 3.26
Lu  0.2500  0.2500  0.2500  4 Tl 3.26, 4 Ce 3.26

First-principles (PBE-GGA) data for crystalline CeLu2Tl at its relaxed geometry, as listed in Alexandria via LeMat-Bulk.

Values from the calculation:
- volume (A^3/atom) = 28.03
- SG = R-3m (166)

Lattice parameters (Å, degrees): 3.4596 3.4596 11.0000 80.95 80.95 60.00
Closest atoms and distances in Å follow each position.
Positions (direct):
Lu  0.2526  0.2526  0.2423  3 Tl 3.30, 3 Ce 3.43, 6 Lu 3.46
Lu  0.7474  0.7474  0.7577  3 Tl 3.30, 3 Ce 3.43, 6 Lu 3.46
Ce  0.5000  0.5000  0.5000  6 Lu 3.43, 6 Ce 3.46
Tl  0.0000  0.0000  0.0000  6 Lu 3.30, 6 Tl 3.46

Number 1: formation energy 0.26 eV/atom, energy -40.5 eV for the cell shown, calculated density 6.43 Mg/m³. Number 2: formation energy 0.16 eV/atom, energy -22.2 eV for the cell shown, calculated density 8.57 Mg/m³. Number 3: formation energy 0.06 eV/atom, energy -20.5 eV for the cell shown, calculated density 9.07 Mg/m³. Number 4: formation energy 0.25 eV/atom, energy -21.8 eV for the cell shown, calculated density 8.29 Mg/m³. Number 5: formation energy 0.22 eV/atom, energy -26.0 eV for the cell shown, calculated density 7.78 Mg/m³. Number 6: formation energy -0.25 eV/atom, energy -16.2 eV for the cell shown, calculated density 10.77 Mg/m³. Number 7: formation energy -0.26 eV/atom, energy -16.2 eV for the cell shown, calculated density 10.94 Mg/m³. Number 8: formation energy -0.23 eV/atom, energy -16.1 eV for the cell shown, calculated density 10.84 Mg/m³. Number 9: formation energy 0.04 eV/atom, energy -18.6 eV for the cell shown, calculated density 9.31 Mg/m³. Number 10: formation energy -0.11 eV/atom, energy -17.8 eV for the cell shown, calculated density 10.46 Mg/m³. Number 11: formation energy 0.06 eV/atom, energy -17.1 eV for the cell shown, calculated density 10.78 Mg/m³. Number 12: formation energy -0.08 eV/atom, energy -17.7 eV for the cell shown, calculated density 10.28 Mg/m³.